[1]
A plane-wave DFT calculation with PBE was carried out for a relaxed Tb3Nd2NpN6 crystal.

Calculated values
* formation energy from raw total energies: -1.475 eV per atom
* crystal system: monoclinic

extended XYZ file:
```
12
Lattice="6.1241 -0.0004 0.0008 -3.0609 5.3043 0.0008 -1.0208 -1.7676 5.7410" Properties=species:S:1:pos:R:3 pbc="T T T"
N 0.1533 3.5357 4.3204
N 2.1240 3.6776 1.4061
N 2.9859 1.8998 4.3204
N 1.8890 0.0006 1.4222
N -0.0816 -0.1413 4.3365
N -0.9435 1.6365 1.4222
Nd 0.0007 3.5361 0.0008
Nd 3.0625 1.7678 0.0008
Tb -2.0456 3.5393 2.8713
Tb 4.0879 -0.0030 2.8713
Tb 1.0212 1.7681 2.8713
Np 0.0000 0.0000 0.0000
```

***

[2]
A plane-wave DFT calculation with PBE was carried out for a relaxed Pr5P12Ru19 crystal.

Calculated values
* crystal system: hexagonal
* DFT formation energy: -0.816 eV per atom

extended XYZ file:
```
36
Lattice="-11.7168 -2.7511 3.9218 9.3746 1.1999 8.4208 -0.8086 3.9292 0.3404" Properties=species:S:1:pos:R:3 pbc="T T T"
Pr -0.8356 1.6789 2.4430
Pr 7.2440 2.9435 7.0403
Pr -9.9635 -0.2799 3.3698
Pr -4.6863 -1.4341 5.4215
Pr 2.3441 -0.1171 6.9211
Ru -2.7037 -0.8196 3.0376
Ru 4.1725 0.5340 3.7480
Ru 1.8485 1.6166 9.5396
Ru 5.3733 0.4451 7.6274
Ru -3.6178 -1.4719 8.3960
Ru -1.2997 -0.8608 6.8491
Ru -7.7374 -2.0109 4.8308
Ru -5.8995 0.1652 7.8869
Ru 2.2708 2.3070 2.5731
Ru 4.0717 2.3821 5.9845
Ru -5.2150 -1.2245 1.7455
Ru -3.7478 1.1795 1.2893
Ru -6.6530 0.3731 3.6968
Ru 0.2737 -0.7429 9.2261
Ru -2.7195 1.0532 5.1912
Ru -2.0782 0.8560 8.9907
Ru 1.3853 -0.0536 3.9099
Ru 0.0000 0.0000 0.0000
Ru -0.1008 1.5437 5.7498
P 2.0519 2.0649 4.8479
P -1.9025 -1.2600 10.0257
P -2.1994 -0.5164 0.7362
P -7.3185 -1.7184 2.4496
P 5.8555 0.7495 5.2598
P -0.0283 1.3568 8.0804
P -3.6365 0.6808 7.3107
P -4.3757 0.8608 3.4769
P -0.8792 -0.5823 4.6331
P -7.2597 0.0498 5.9873
P 3.7958 2.1208 8.3455
P 1.7597 0.2252 1.5807
```